# ScW2Cl (GGA-PBE, relaxed)
data_ScW2Cl
_cell_length_a 3.203
_cell_length_b 3.203
_cell_length_c 8.266
_cell_angle_alpha 90.00
_cell_angle_beta 90.00
_cell_angle_gamma 90.00
_space_group_name_H-M_alt 'P 4 m m'
_space_group_IT_number 99
_space_group_name_Hall 'P 4 -2'
loop_
_atom_site_label
_atom_site_type_symbol
_atom_site_fract_x
_atom_site_fract_y
_atom_site_fract_z
_atom_site_occupancy
Sc1 Sc 0.000 0.000 0.000 1
W1 W 0.000 0.000 0.383 1
W2 W 0.500 0.500 0.225 1
Cl1 Cl 0.500 0.500 0.812 1
# Offset from the most stable computed form in eV/atom: 0.086



PaTl2Cl2F4: relaxed, GGA-PBE.

```
data_PaTl2Cl2F4
_cell_length_a 6.756
_cell_length_b 6.756
_cell_length_c 10.322
_cell_angle_alpha 90.00
_cell_angle_beta 90.00
_cell_angle_gamma 90.00
_space_group_name_H-M_alt 'I 4/m m m'
_space_group_IT_number 139
_space_group_name_Hall '-I 4 2'
loop_
_atom_site_label
_atom_site_type_symbol
_atom_site_fract_x
_atom_site_fract_y
_atom_site_fract_z
_atom_site_occupancy
Pa1 Pa 0.000 0.000 0.000 1
Tl1 Tl 0.000 0.500 0.250 1
Cl1 Cl 0.000 0.000 0.266 1
F1 F 0.224 0.224 0.000 1
```



| no. | E (eV per atom) | calculated volume (Å³/cell) |
| --- | --- | --- |
| 1 | -8.54 | 84.8 |
| 2 | -5.27 | 471.1 |